Computed, not measured: a PBEsol-optimized structure of ZnPS2Br at the meta-GGA SCAN level of DFT.

Unit cell a=4.7972 b=4.7972 c=4.7432 alpha=90.00 beta=90.00 gamma=90.00
Space group P4/mmm (No. 123)
Unique sites:
Zn1 0.0000 0.0000 0.0000 [1 per cell]
P1 0.5000 0.5000 0.0000 [1 per cell]
S1 0.0000 0.5000 0.5000 [2 per cell]
Br1 0.5000 0.5000 0.5000 [1 per cell]

Computed properties:
Raw formation energy ... 1.37 eV per atom
N(E_F) ... 4.3 states/eV/f.u.
Crystal system ... tetragonal
ρ ... 3.7 g/cm³

Computed, not measured: a PBEsol-optimized structure of SbP2Br at the meta-GGA SCAN level of DFT.

Unit cell a=5.5712 b=5.5712 c=5.6056 alpha=90.00 beta=90.00 gamma=90.00
Space group I4/mmm (No. 139)
Unique sites:
Sb1 0.0000 0.0000 0.0000 [2 per cell]
P1 0.0000 0.5000 0.0000 [4 per cell]
Br1 0.0000 0.0000 0.5000 [2 per cell]

Computed properties:
Raw formation energy ... 0.60 eV per atom
N(E_F) ... 1.6 states/eV/f.u.
E above lowest polymorph ... 1.40 eV/f.u.
Crystal system ... tetragonal
ρ ... 5.0 g/cm³

Computed, not measured: a PBEsol-optimized structure of SbP2Br at the meta-GGA SCAN level of DFT.

Unit cell a=3.7877 b=3.8682 c=12.9846 alpha=90.00 beta=90.00 gamma=90.00
Space group Imm2 (No. 44)
Unique sites:
Sb1 0.0000 0.0000 0.0000 [2 per cell]
P1 0.0000 0.0000 0.4321 [2 per cell]
P2 0.0000 0.5000 0.8331 [2 per cell]
Br1 0.0000 0.5000 0.1718 [2 per cell]

Computed properties:
Raw formation energy ... 0.25 eV per atom
N(E_F) ... 1.4 states/eV/f.u.
E above lowest polymorph ... 0.00 eV/f.u.
Crystal system ... orthorhombic
ρ ... 4.6 g/cm³

Computed, not measured: a PBEsol-optimized structure of SbP2Br at the meta-GGA SCAN level of DFT.

Unit cell a=3.2633 b=6.4516 c=9.4059 alpha=90.00 beta=90.00 gamma=90.00
Space group Cmm2 (No. 35)
Unique sites:
Sb1 0.0000 0.0000 0.0000 [2 per cell]
P1 0.0000 0.0000 0.5614 [2 per cell]
P2 0.0000 0.5000 0.7071 [2 per cell]
Br1 0.0000 0.5000 0.2404 [2 per cell]

Computed properties:
Raw formation energy ... 0.32 eV per atom
N(E_F) ... 1.5 states/eV/f.u.
E above lowest polymorph ... 0.28 eV/f.u.
Crystal system ... orthorhombic
ρ ... 4.4 g/cm³

Computed, not measured: a PBEsol-optimized structure of SbP2Br at the meta-GGA SCAN level of DFT.

Unit cell a=7.0041 b=7.0041 c=8.1422 alpha=90.00 beta=90.00 gamma=90.00
Space group I-42d (No. 122)
Unique sites:
Sb1 0.0000 0.0000 0.0000 [4 per cell]
P1 0.2269 0.7500 0.1250 [8 per cell]
Br1 0.0000 0.0000 0.5000 [4 per cell]

Computed properties:
Raw formation energy ... 0.64 eV per atom
N(E_F) ... 2.4 states/eV/f.u.
E above lowest polymorph ... 1.53 eV/f.u.
Crystal system ... tetragonal
ρ ... 4.4 g/cm³

Computed, not measured: a PBEsol-optimized structure of SbP2Br at the meta-GGA SCAN level of DFT.

Unit cell a=3.7679 b=3.7679 c=6.4236 alpha=90.00 beta=90.00 gamma=90.00
Space group P4/mmm (No. 123)
Unique sites:
Sb1 0.0000 0.0000 0.0000 [1 per cell]
P1 0.5000 0.5000 0.1709 [2 per cell]
Br1 0.0000 0.0000 0.5000 [1 per cell]

Computed properties:
Raw formation energy ... 0.47 eV per atom
N(E_F) ... 2.2 states/eV/f.u.
E above lowest polymorph ... 0.85 eV/f.u.
Crystal system ... tetragonal
ρ ... 4.8 g/cm³

Computed, not measured: a PBEsol-optimized structure of SbP2Br at the meta-GGA SCAN level of DFT.

Unit cell a=6.7743 b=6.7743 c=6.7743 alpha=90.00 beta=90.00 gamma=90.00
Space group F-43m (No. 216)
Unique sites:
Sb1 0.0000 0.0000 0.0000 [4 per cell]
P1 0.0000 0.0000 0.5000 [4 per cell]
P2 0.2500 0.2500 0.7500 [4 per cell]
Br1 0.2500 0.2500 0.2500 [4 per cell]

Computed properties:
Raw formation energy ... 0.82 eV per atom
N(E_F) ... 2.5 states/eV/f.u.
E above lowest polymorph ... 2.28 eV/f.u.
Crystal system ... cubic
ρ ... 5.6 g/cm³

Computed, not measured: a PBEsol-optimized structure of TiSb2PBr at the meta-GGA SCAN level of DFT.

Unit cell a=5.2069 b=5.2069 c=4.5967 alpha=90.00 beta=90.00 gamma=90.00
Space group P4/mmm (No. 123)
Unique sites:
Ti1 0.0000 0.0000 0.0000 [1 per cell]
Sb1 0.0000 0.5000 0.0000 [2 per cell]
P1 0.0000 0.0000 0.5000 [1 per cell]
Br1 0.5000 0.5000 0.5000 [1 per cell]

Computed properties:
Raw formation energy ... 0.02 eV per atom
N(E_F) ... 2.0 states/eV/f.u.
Crystal system ... tetragonal
ρ ... 5.4 g/cm³

Computed, not measured: a PBEsol-optimized structure of ScPSe2Br at the meta-GGA SCAN level of DFT.

Unit cell a=5.1460 b=5.1460 c=4.9762 alpha=90.00 beta=90.00 gamma=90.00
Space group P4/mmm (No. 123)
Unique sites:
Sc1 0.0000 0.0000 0.0000 [1 per cell]
P1 0.5000 0.5000 0.5000 [1 per cell]
Se1 0.0000 0.5000 0.0000 [2 per cell]
Br1 0.0000 0.0000 0.5000 [1 per cell]

Computed properties:
Raw formation energy ... -0.16 eV per atom
N(E_F) ... 2.1 states/eV/f.u.
Crystal system ... tetragonal
ρ ... 4.0 g/cm³

Computed, not measured: a PBEsol-optimized structure of SrScPBr2 at the meta-GGA SCAN level of DFT.

Unit cell a=5.4850 b=5.4850 c=5.7302 alpha=90.00 beta=90.00 gamma=90.00
Space group P4/mmm (No. 123)
Unique sites:
Sr1 0.0000 0.0000 0.0000 [1 per cell]
Sc1 0.5000 0.5000 0.5000 [1 per cell]
P1 0.0000 0.0000 0.5000 [1 per cell]
Br1 0.0000 0.5000 0.0000 [2 per cell]

Computed properties:
Raw formation energy ... -0.39 eV per atom
N(E_F) ... 4.0 states/eV/f.u.
Crystal system ... tetragonal
ρ ... 3.1 g/cm³

Computed, not measured: a PBEsol-optimized structure of ScPW2Br at the meta-GGA SCAN level of DFT.

Unit cell a=4.4474 b=4.4474 c=5.0022 alpha=90.00 beta=90.00 gamma=90.00
Space group P4/mmm (No. 123)
Unique sites:
Sc1 0.0000 0.0000 0.0000 [1 per cell]
P1 0.0000 0.0000 0.5000 [1 per cell]
W1 0.0000 0.5000 0.5000 [2 per cell]
Br1 0.5000 0.5000 0.0000 [1 per cell]

Computed properties:
Raw formation energy ... 0.84 eV per atom
N(E_F) ... 3.7 states/eV/f.u.
Crystal system ... tetragonal
ρ ... 8.8 g/cm³

Computed, not measured: a PBEsol-optimized structure of PSeBr at the meta-GGA SCAN level of DFT.

Unit cell a=3.1424 b=3.1424 c=13.7781 alpha=90.00 beta=90.00 gamma=90.00
Space group I4mm (No. 107)
Unique sites:
P1 0.0000 0.0000 0.0000 [2 per cell]
Se1 0.0000 0.0000 0.5819 [2 per cell]
Br1 0.0000 0.0000 0.3014 [2 per cell]

Computed properties:
Raw formation energy ... 0.40 eV per atom
N(E_F) ... 1.6 states/eV/f.u.
Crystal system ... tetragonal
ρ ... 4.6 g/cm³

Computed, not measured: a PBEsol-optimized structure of P2SeBr at the meta-GGA SCAN level of DFT.

Unit cell a=9.9880 b=3.2620 c=5.7175 alpha=90.00 beta=99.43 gamma=90.00
Space group Cm (No. 8)
Unique sites:
P1 0.0000 0.0000 0.0000 [2 per cell]
P2 0.0641 0.5000 0.2688 [2 per cell]
Se1 0.1861 0.0000 0.8344 [2 per cell]
Br1 0.3737 0.0000 0.4298 [2 per cell]

Computed properties:
Raw formation energy ... 0.05 eV per atom
N(E_F) ... 1.2 states/eV/f.u.
E above lowest polymorph ... 0.00 eV/f.u.
Crystal system ... monoclinic
ρ ... 4.0 g/cm³

Computed, not measured: a PBEsol-optimized structure of P2SeBr at the meta-GGA SCAN level of DFT.

Unit cell a=3.4274 b=3.7497 c=6.4737 alpha=90.00 beta=90.00 gamma=90.00
Space group Pmmm (No. 47)
Unique sites:
P1 0.0000 0.0000 0.0000 [1 per cell]
P2 0.5000 0.0000 0.5000 [1 per cell]
Se1 0.0000 0.5000 0.5000 [1 per cell]
Br1 0.5000 0.5000 0.0000 [1 per cell]

Computed properties:
Raw formation energy ... 0.82 eV per atom
N(E_F) ... 2.7 states/eV/f.u.
E above lowest polymorph ... 3.11 eV/f.u.
Crystal system ... orthorhombic
ρ ... 4.4 g/cm³

Computed, not measured: a PBEsol-optimized structure of SiPSeBr2 at the meta-GGA SCAN level of DFT.

Unit cell a=4.8278 b=4.8278 c=5.1201 alpha=90.00 beta=90.00 gamma=90.00
Space group P4/mmm (No. 123)
Unique sites:
Si1 0.0000 0.0000 0.0000 [1 per cell]
P1 0.5000 0.5000 0.5000 [1 per cell]
Se1 0.0000 0.0000 0.5000 [1 per cell]
Br1 0.0000 0.5000 0.0000 [2 per cell]

Computed properties:
Raw formation energy ... 0.60 eV per atom
N(E_F) ... 1.7 states/eV/f.u.
Crystal system ... tetragonal
ρ ... 4.1 g/cm³

Computed, not measured: a PBEsol-optimized structure of TiPSeBr2 at the meta-GGA SCAN level of DFT.

Unit cell a=4.9459 b=4.9459 c=4.8849 alpha=90.00 beta=90.00 gamma=90.00
Space group P4/mmm (No. 123)
Unique sites:
Ti1 0.0000 0.0000 0.0000 [1 per cell]
P1 0.5000 0.5000 0.5000 [1 per cell]
Se1 0.5000 0.5000 0.0000 [1 per cell]
Br1 0.0000 0.5000 0.5000 [2 per cell]

Computed properties:
Raw formation energy ... 0.25 eV per atom
N(E_F) ... 2.4 states/eV/f.u.
Crystal system ... tetragonal
ρ ... 4.4 g/cm³

Computed, not measured: a PBEsol-optimized structure of PWSeBr2 at the meta-GGA SCAN level of DFT.

Unit cell a=4.8081 b=4.8081 c=5.1001 alpha=90.00 beta=90.00 gamma=90.00
Space group P4/mmm (No. 123)
Unique sites:
P1 0.0000 0.0000 0.0000 [1 per cell]
W1 0.5000 0.5000 0.5000 [1 per cell]
Se1 0.0000 0.0000 0.5000 [1 per cell]
Br1 0.0000 0.5000 0.0000 [2 per cell]

Computed properties:
Raw formation energy ... 1.37 eV per atom
N(E_F) ... 3.7 states/eV/f.u.
E above lowest polymorph ... 2.89 eV/f.u.
Crystal system ... tetragonal
ρ ... 6.4 g/cm³

Computed, not measured: a PBEsol-optimized structure of PWSeBr2 at the meta-GGA SCAN level of DFT.

Unit cell a=5.0609 b=5.0609 c=4.8284 alpha=90.00 beta=90.00 gamma=90.00
Space group P4/mmm (No. 123)
Unique sites:
P1 0.0000 0.0000 0.0000 [1 per cell]
W1 0.5000 0.5000 0.5000 [1 per cell]
Se1 0.5000 0.5000 0.0000 [1 per cell]
Br1 0.0000 0.5000 0.5000 [2 per cell]

Computed properties:
Raw formation energy ... 0.79 eV per atom
N(E_F) ... 2.9 states/eV/f.u.
E above lowest polymorph ... 0.00 eV/f.u.
Crystal system ... tetragonal
ρ ... 6.1 g/cm³

Computed, not measured: a PBEsol-optimized structure of YPSeBr2 at the meta-GGA SCAN level of DFT.

Unit cell a=5.3729 b=5.3729 c=5.6110 alpha=90.00 beta=90.00 gamma=90.00
Space group P4/mmm (No. 123)
Unique sites:
Y1 0.0000 0.0000 0.0000 [1 per cell]
P1 0.5000 0.5000 0.5000 [1 per cell]
Se1 0.0000 0.0000 0.5000 [1 per cell]
Br1 0.0000 0.5000 0.0000 [2 per cell]

Computed properties:
Raw formation energy ... -0.58 eV per atom
N(E_F) ... 2.0 states/eV/f.u.
Crystal system ... tetragonal
ρ ... 3.7 g/cm³

Computed, not measured: a PBEsol-optimized structure of SiP2Br at the meta-GGA SCAN level of DFT.

Unit cell a=3.2515 b=4.6919 c=9.2531 alpha=90.00 beta=90.00 gamma=90.00
Space group Immm (No. 71)
Unique sites:
Si1 0.0000 0.0000 0.0000 [2 per cell]
P1 0.0000 0.5000 0.3068 [4 per cell]
Br1 0.0000 0.0000 0.5000 [2 per cell]

Computed properties:
Raw formation energy ... 0.72 eV per atom
N(E_F) ... 1.7 states/eV/f.u.
E above lowest polymorph ... 2.63 eV/f.u.
Crystal system ... orthorhombic
ρ ... 4.0 g/cm³

Computed, not measured: a PBEsol-optimized structure of SiPBr at the meta-GGA SCAN level of DFT.

Unit cell a=3.4741 b=3.4741 c=6.2080 alpha=90.00 beta=90.00 gamma=120.00
Space group P3m1 (No. 156)
Unique sites:
Si1 0.0000 0.0000 0.0000 [1 per cell]
P1 0.6667 0.3333 0.1705 [1 per cell]
Br1 0.3333 0.6667 0.6982 [1 per cell]

Computed properties:
Raw formation energy ... -0.13 eV per atom
Crystal system ... trigonal
ρ ... 3.6 g/cm³

Computed, not measured: a PBEsol-optimized structure of SiP2Br at the meta-GGA SCAN level of DFT.

Unit cell a=4.3971 b=3.5352 c=5.2365 alpha=90.00 beta=107.98 gamma=90.00
Space group P2/m (No. 10)
Unique sites:
Si1 0.0000 0.0000 0.0000 [1 per cell]
P1 0.3806 0.5000 0.1470 [2 per cell]
Br1 0.0000 0.0000 0.5000 [1 per cell]

Computed properties:
Raw formation energy ... 0.06 eV per atom
N(E_F) ... 1.1 states/eV/f.u.
E above lowest polymorph ... 0.00 eV/f.u.
Crystal system ... monoclinic
ρ ... 3.6 g/cm³

Computed, not measured: a PBEsol-optimized structure of Zr2SiPBr at the meta-GGA SCAN level of DFT.

Unit cell a=4.9377 b=4.9377 c=4.2946 alpha=90.00 beta=90.00 gamma=90.00
Space group P4/mmm (No. 123)
Unique sites:
Zr1 0.0000 0.5000 0.0000 [2 per cell]
Si1 0.0000 0.0000 0.5000 [1 per cell]
P1 0.0000 0.0000 0.0000 [1 per cell]
Br1 0.5000 0.5000 0.5000 [1 per cell]

Computed properties:
Raw formation energy ... 0.03 eV per atom
N(E_F) ... 2.5 states/eV/f.u.
Crystal system ... tetragonal
ρ ... 5.1 g/cm³

Computed, not measured: a PBEsol-optimized structure of SnP2Br at the meta-GGA SCAN level of DFT.

Unit cell a=6.7349 b=6.7349 c=6.7349 alpha=90.00 beta=90.00 gamma=90.00
Space group Fm-3m (No. 225)
Unique sites:
Sn1 0.0000 0.0000 0.0000 [4 per cell]
P1 0.2500 0.2500 0.2500 [8 per cell]
Br1 0.0000 0.0000 0.5000 [4 per cell]

Computed properties:
Raw formation energy ... 0.82 eV per atom
N(E_F) ... 2.0 states/eV/f.u.
Crystal system ... cubic
ρ ... 5.7 g/cm³

Computed, not measured: a PBEsol-optimized structure of Sr2PBr at the meta-GGA SCAN level of DFT.

Unit cell a=6.7396 b=6.7396 c=14.2692 alpha=90.00 beta=90.00 gamma=90.00
Space group I-42d (No. 122)
Unique sites:
Sr1 0.2155 0.2500 0.1250 [8 per cell]
P1 0.0000 0.0000 0.0000 [4 per cell]
Br1 0.0000 0.0000 0.5000 [4 per cell]

Computed properties:
Raw formation energy ... -1.44 eV per atom
Crystal system ... tetragonal
ρ ... 2.9 g/cm³

Computed, not measured: a PBEsol-optimized structure of Sr2PBr at the meta-GGA SCAN level of DFT.

Unit cell a=4.4114 b=4.4114 c=6.0638 alpha=90.00 beta=90.00 gamma=90.00
Space group P4/mmm (No. 123)
Unique sites:
Sr1 0.0000 0.0000 0.0000 [1 per cell]
Sr2 0.5000 0.5000 0.5000 [1 per cell]
P1 0.0000 0.0000 0.5000 [1 per cell]
Br1 0.5000 0.5000 0.0000 [1 per cell]

Computed properties:
Raw formation energy ... -1.66 eV per atom
N(E_F) ... 0.1 states/eV/f.u.
Crystal system ... tetragonal
ρ ... 4.0 g/cm³

Computed, not measured: a PBEsol-optimized structure of Ta2PBr at the meta-GGA SCAN level of DFT.

Unit cell a=3.3599 b=3.5906 c=12.7448 alpha=90.00 beta=90.00 gamma=90.00
Space group Imm2 (No. 44)
Unique sites:
Ta1 0.0000 0.0000 0.0000 [2 per cell]
Ta2 0.0000 0.5000 0.3340 [2 per cell]
P1 0.0000 0.5000 0.8707 [2 per cell]
Br1 0.0000 0.0000 0.6213 [2 per cell]

Computed properties:
Raw formation energy ... -0.20 eV per atom
N(E_F) ... 0.8 states/eV/f.u.
E above lowest polymorph ... 0.00 eV/f.u.
Crystal system ... orthorhombic
ρ ... 10.2 g/cm³

Computed, not measured: a PBEsol-optimized structure of Ta2PBr at the meta-GGA SCAN level of DFT.

Unit cell a=3.2030 b=3.2030 c=23.1432 alpha=90.00 beta=90.00 gamma=120.00
Space group R-3m (No. 166, hexagonal axes)
Unique sites:
Ta1 0.0000 0.0000 0.2373 [6 per cell]
P1 0.0000 0.0000 0.5000 [3 per cell]
Br1 0.0000 0.0000 0.0000 [3 per cell]

Computed properties:
Raw formation energy ... 0.08 eV per atom
N(E_F) ... 1.9 states/eV/f.u.
E above lowest polymorph ... 1.12 eV/f.u.
Crystal system ... trigonal
ρ ... 11.5 g/cm³

Computed, not measured: a PBEsol-optimized structure of Ta2PBr at the meta-GGA SCAN level of DFT.

Unit cell a=3.2789 b=3.2789 c=6.8117 alpha=90.00 beta=90.00 gamma=90.00
Space group P4mm (No. 99)
Unique sites:
Ta1 0.0000 0.0000 0.0000 [1 per cell]
Ta2 0.5000 0.5000 0.2640 [1 per cell]
P1 0.5000 0.5000 0.8764 [1 per cell]
Br1 0.0000 0.0000 0.5213 [1 per cell]

Computed properties:
Raw formation energy ... -0.20 eV per atom
N(E_F) ... 2.7 states/eV/f.u.
E above lowest polymorph ... 0.00 eV/f.u.
Crystal system ... tetragonal
ρ ... 10.7 g/cm³

Computed, not measured: a PBEsol-optimized structure of TcP4Br at the meta-GGA SCAN level of DFT.

Unit cell a=7.5971 b=7.5971 c=7.5971 alpha=90.00 beta=90.00 gamma=90.00
Space group F-43m (No. 216)
Unique sites:
Tc1 0.0000 0.0000 0.0000 [4 per cell]
P1 0.1055 0.1055 0.3945 [16 per cell]
Br1 0.2500 0.2500 0.7500 [4 per cell]

Computed properties:
Raw formation energy ... 0.86 eV per atom
N(E_F) ... 1.8 states/eV/f.u.
Crystal system ... cubic
ρ ... 4.6 g/cm³